Computed, not measured: crystalline Cu2SiGe2 at its relaxed geometry at the PBE level of DFT.

E above lowest polymorph = 0.0158 eV per atom
energy relative to the elements, uncorrected = 317 meV/atom

Cell: 7.240 7.240 2.974 Å, 90.00 90.00 90.00°
Fractional coordinates of all 10 atoms:
Ge (0.167, 0.667, 0.500)
Ge (0.667, 0.833, 0.500)
Ge (0.833, 0.333, 0.500)
Ge (0.333, 0.167, 0.500)
Si (0.000, 0.000, 0.000)
Si (0.500, 0.500, 0.000)
Cu (0.368, 0.868, 0.000)
Cu (0.868, 0.632, 0.000)
Cu (0.632, 0.132, 0.000)
Cu (0.132, 0.368, 0.000)

---

Computed, not measured: crystalline CuSi2Ge2 at its relaxed geometry at the PBE level of DFT.

E above lowest polymorph = 0.3725 eV per atom
energy relative to the elements, uncorrected = 770 meV/atom

Cell: 4.685 4.685 4.480 Å, 90.00 90.00 90.00°
Fractional coordinates of all 5 atoms:
Ge (0.000, 0.500, 0.000)
Ge (0.500, 0.000, 0.000)
Si (0.500, 0.500, 0.500)
Si (0.000, 0.000, 0.500)
Cu (0.000, 0.000, 0.000)

---

Computed, not measured: crystalline Sm2Cu4Si3Ge at its relaxed geometry at the PBE level of DFT.

energy relative to the elements, uncorrected = -530 meV/atom

Cell: 4.089 4.089 9.960 Å, 90.00 90.00 90.00°
Fractional coordinates of all 10 atoms:
Sm (0.500, 0.000, 0.245)
Sm (0.000, 0.500, 0.755)
Cu (0.500, 0.500, 0.000)
Cu (0.000, 0.000, 0.000)
Cu (0.500, 0.000, 0.636)
Cu (0.000, 0.500, 0.364)
Si (0.000, 0.000, 0.500)
Si (0.500, 0.000, 0.872)
Si (0.000, 0.500, 0.128)
Ge (0.500, 0.500, 0.500)

---

Computed, not measured: crystalline Sm2Cu4SiGe3 at its relaxed geometry at the PBE level of DFT.

energy relative to the elements, uncorrected = -508 meV/atom

Cell: 4.140 4.140 10.046 Å, 90.00 90.00 90.00°
Fractional coordinates of all 10 atoms:
Sm (0.500, 0.000, 0.250)
Sm (0.000, 0.500, 0.750)
Cu (0.500, 0.500, 0.000)
Cu (0.000, 0.000, 0.000)
Cu (0.500, 0.000, 0.628)
Cu (0.000, 0.500, 0.372)
Si (0.500, 0.500, 0.500)
Ge (0.000, 0.000, 0.500)
Ge (0.500, 0.000, 0.867)
Ge (0.000, 0.500, 0.133)

---

Computed, not measured: crystalline SrCu3SiGe at its relaxed geometry at the PBE level of DFT.

energy relative to the elements, uncorrected = -82 meV/atom

Cell: 5.834 6.304 7.117 Å, 116.29 90.00 90.00°
Fractional coordinates of all 12 atoms:
Sr (0.750, 0.245, 0.491)
Sr (0.250, 0.755, 0.509)
Cu (0.250, 0.203, 0.406)
Cu (0.000, 0.293, 0.000)
Cu (0.500, 0.707, 0.000)
Cu (0.500, 0.293, 0.000)
Cu (0.000, 0.707, 0.000)
Cu (0.750, 0.797, 0.594)
Si (0.250, 0.030, 0.060)
Si (0.750, 0.970, 0.940)
Ge (0.250, 0.384, 0.767)
Ge (0.750, 0.616, 0.233)

---

Computed, not measured: crystalline SrCuSi2Ge at its relaxed geometry at the PBE level of DFT.

energy relative to the elements, uncorrected = 219 meV/atom

Cell: 4.635 5.074 4.635 Å, 90.00 90.00 90.00°
Fractional coordinates of all 5 atoms:
Sr (0.500, 0.500, 0.500)
Ge (0.000, 0.500, 0.000)
Si (0.000, 0.000, 0.500)
Si (0.500, 0.000, 0.000)
Cu (0.000, 0.000, 0.000)

---

Computed, not measured: crystalline Sr2Cu4SiGe3 at its relaxed geometry at the PBE level of DFT.

energy relative to the elements, uncorrected = -328 meV/atom

Cell: 4.284 4.284 10.149 Å, 90.00 90.00 90.00°
Fractional coordinates of all 10 atoms:
Sr (0.500, 0.000, 0.248)
Sr (0.000, 0.500, 0.752)
Cu (0.500, 0.500, 0.000)
Cu (0.000, 0.000, 0.000)
Cu (0.500, 0.000, 0.624)
Cu (0.000, 0.500, 0.376)
Si (0.500, 0.500, 0.500)
Ge (0.000, 0.000, 0.500)
Ge (0.500, 0.000, 0.874)
Ge (0.000, 0.500, 0.126)

---

Computed, not measured: crystalline Sr4CuSi2Ge2 at its relaxed geometry at the PBE level of DFT.

energy relative to the elements, uncorrected = -294 meV/atom

Cell: 5.781 6.456 6.456 Å, 87.52 83.79 83.79°
Fractional coordinates of all 9 atoms:
Sr (0.254, 0.578, 0.170)
Sr (0.746, 0.830, 0.422)
Sr (0.746, 0.422, 0.830)
Sr (0.254, 0.170, 0.578)
Cu (0.500, 0.000, 0.000)
Si (0.219, 0.673, 0.673)
Si (0.781, 0.327, 0.327)
Ge (0.098, 0.109, 0.109)
Ge (0.902, 0.891, 0.891)

---

Computed, not measured: crystalline CuSiTcGe2 at its relaxed geometry at the PBE level of DFT.

energy relative to the elements, uncorrected = 1047 meV/atom

Cell: 4.640 4.408 4.640 Å, 90.00 90.00 90.00°
Fractional coordinates of all 5 atoms:
Ge (0.000, 0.000, 0.500)
Ge (0.500, 0.000, 0.000)
Si (0.000, 0.500, 0.000)
Tc (0.500, 0.500, 0.500)
Cu (0.000, 0.000, 0.000)

---

Computed, not measured: crystalline Cu2SiGeTe4 at its relaxed geometry at the PBE level of DFT.

energy relative to the elements, uncorrected = -13 meV/atom

Cell: 6.346 6.346 7.155 Å, 113.66 113.66 95.46°
Fractional coordinates of all 8 atoms:
Cu (0.754, 0.254, 0.507)
Cu (0.254, 0.754, 0.507)
Si (0.503, 0.503, 0.006)
Ge (0.015, 0.015, 0.030)
Te (0.594, 0.594, 0.719)
Te (0.405, 0.852, 0.256)
Te (0.852, 0.405, 0.256)
Te (0.124, 0.124, 0.719)

---

Computed, not measured: crystalline Th2Cu4Si3Ge at its relaxed geometry at the PBE level of DFT.

energy relative to the elements, uncorrected = -528 meV/atom

Cell: 4.168 4.168 9.827 Å, 90.00 90.00 90.00°
Fractional coordinates of all 10 atoms:
Th (0.500, 0.000, 0.245)
Th (0.000, 0.500, 0.755)
Cu (0.500, 0.500, 0.000)
Cu (0.000, 0.000, 0.000)
Cu (0.500, 0.000, 0.632)
Cu (0.000, 0.500, 0.368)
Si (0.000, 0.000, 0.500)
Si (0.500, 0.000, 0.872)
Si (0.000, 0.500, 0.128)
Ge (0.500, 0.500, 0.500)

---

Computed, not measured: crystalline CuSiGeW2 at its relaxed geometry at the PBE level of DFT.

energy relative to the elements, uncorrected = 1680 meV/atom

Cell: 4.684 4.071 4.684 Å, 90.00 90.00 90.00°
Fractional coordinates of all 5 atoms:
Ge (0.000, 0.500, 0.000)
Si (0.500, 0.500, 0.500)
Cu (0.000, 0.000, 0.000)
W (0.000, 0.000, 0.500)
W (0.500, 0.000, 0.000)